Entry from Alexandria: POsC after structural relaxation (PBE).

Summary:
formation enthalpy at 0 K	66.0	kJ/mol of atoms
space group	P1 (1)

Lattice parameters (Å, degrees): 2.8503 3.5770 4.3217 81.88 71.09 89.86
Element x y z (fractional)
P  0.0000  0.0000  0.0000
Os  0.2838  0.2209  0.4430
C  0.4015  0.7454  0.2035


Entry from Alexandria: HfCuSb after structural relaxation (PBE).

Summary:
formation energy (no corrections)	-0.020	eV/atom
space group	I4mm (107)

Lattice parameters (Å, degrees): 4.9464 4.9464 4.9464 134.80 134.80 65.84
Element x y z (fractional)
Hf  0.0000  0.0000  0.0000
Cu  0.3327  0.3327  0.0000
Sb  0.6554  0.6554  0.0000


Entry from Alexandria: AlP2 after structural relaxation (PBE).

Summary:
formation enthalpy at 0 K	1.2	kJ/mol of atoms
space group	Cmcm (63)

Lattice parameters (Å, degrees): 5.0430 5.0430 4.8647 90.00 90.00 126.81
Element x y z (fractional)
Al  0.1595  0.8405  0.7500
Al  0.8405  0.1595  0.2500
P  0.2169  0.7831  0.2500
P  0.4776  0.5224  0.2500
P  0.5224  0.4776  0.7500
P  0.7831  0.2169  0.7500


Entry from Alexandria: MnMoI2N after structural relaxation (PBE).

Summary:
formation energy (no corrections)	0.864	eV/atom
space group	P4/mmm (123)

Lattice parameters (Å, degrees): 5.4972 5.4972 3.5376 90.00 90.00 90.00
Element x y z (fractional)
Mn  0.0000  0.0000  0.0000
Mo  0.5000  0.5000  0.5000
I  0.0000  0.5000  0.0000
I  0.5000  0.0000  0.0000
N  0.0000  0.0000  0.5000